Li2CaTc | SCAN | single point on PBEsol structure Values from VASP.

* ΔE to the lowest computed polymorph: 63.0 meV per atom

Quantum ESPRESSO input file:
```
&SYSTEM
  ibrav = 0, nat = 4, ntyp = 3
/
ATOMIC_SPECIES
Tc 98.00 Tc.upf
Li 6.94 Li.upf
Ca 40.08 Ca.upf
CELL_PARAMETERS angstrom
2.6857 0.0000 0.0000
0.0000 2.6857 0.0000
0.0000 0.0000 10.0156
ATOMIC_POSITIONS angstrom
Tc 1.3429 1.3429 0.0000
Li 0.0000 0.0000 2.0867
Li 0.0000 0.0000 7.9288
Ca 1.3429 1.3429 5.0078
```